Compound: ZrBe3H
Source: the Alexandria database
Functional: PBE
Structure: optimized geometry

Properties
The energy relative to the lowest polymorph listed for this composition is 2073.4 meV/atom.

Lattice parameters (Å, degrees): 5.053 5.053 5.053 90.00 90.00 90.00
Site moments in Bohr magnetons follow the coordinates.
Positions (direct):
Be (0.000, 0.500, 0.000)  -0.03
Be (0.000, 0.000, 0.500)  -0.01
Be (0.500, 0.000, 0.000)  -0.02
Zr (0.000, 0.000, 0.000)  -0.16
H (0.500, 0.500, 0.500)  0.31

---

Compound: PmSe3O9
Source: the Alexandria database
Functional: PBE
Structure: optimized geometry

Lattice parameters (Å, degrees): 7.565 7.565 7.362 90.00 90.00 95.94
Site moments in Bohr magnetons follow the coordinates.
Positions (direct):
Pm (0.602, 0.602, 0.000)  0.00
Pm (0.398, 0.398, 0.500)  0.00
Se (0.107, 0.795, 0.031)  0.07
Se (0.893, 0.205, 0.531)  0.07
Se (0.795, 0.107, 0.969)  0.07
Se (0.205, 0.893, 0.469)  0.07
Se (0.277, 0.277, 0.000)  0.00
Se (0.723, 0.723, 0.500)  0.00
O (0.309, 0.071, 0.944)  0.06
O (0.691, 0.929, 0.444)  0.06
O (0.071, 0.309, 0.056)  0.06
O (0.929, 0.691, 0.556)  0.06
O (0.364, 0.410, 0.827)  0.01
O (0.636, 0.590, 0.327)  0.01
O (0.410, 0.364, 0.173)  0.01
O (0.590, 0.636, 0.673)  0.01
O (0.310, 0.710, 0.447)  0.13
O (0.690, 0.290, 0.947)  0.13
O (0.710, 0.310, 0.553)  0.13
O (0.290, 0.690, 0.053)  0.13
O (0.352, 0.077, 0.466)  0.11
O (0.648, 0.923, 0.966)  0.11
O (0.077, 0.352, 0.534)  0.11
O (0.923, 0.648, 0.034)  0.11
O (0.088, 0.912, 0.250)  0.07
O (0.912, 0.088, 0.750)  0.07

---

Compound: Mg2CuMo
Source: the Alexandria database
Functional: PBE
Structure: optimized geometry

Properties
The energy relative to the lowest polymorph listed for this composition is 539.1 meV/atom. Its formation energy from the elements is 2.78 eV per formula unit.

Lattice parameters (Å, degrees): 7.179 7.179 5.753 51.40 51.40 90.00
Site moments in Bohr magnetons follow the coordinates.
Positions (direct):
Mo (0.000, 0.000, 0.000)  0.53
Mo (0.750, 0.250, 0.500)  0.53
Mg (0.593, 0.125, 0.250)  0.00
Mg (0.157, 0.625, 0.250)  0.00
Mg (0.375, 0.407, 0.750)  0.00
Mg (0.875, 0.843, 0.750)  0.00
Cu (0.500, 0.500, 0.000)  0.05
Cu (0.250, 0.750, 0.500)  0.05

---

| no. | uncorrected energy (eV/atom) | volume (Å³ per cell) |
| --- | --- | --- |
| 1 | -2.31 | 129.0 |
| 2 | -5.73 | 419.0 |
| 3 | -3.83 | 139.5 |